--- a ---
A relaxed CaCu3Rh crystal, computed with GGA-PBE.

Cell: 4.684 7.967 5.432 Å, 90.00 90.00 90.00°
Atoms (fractional coordinates):
Cu  0.500  0.000  0.500
Cu  0.000  0.250  0.250
Cu  0.500  0.500  0.000
Cu  0.000  0.250  0.750
Cu  0.000  0.750  0.750
Cu  0.000  0.750  0.250
Ca  0.500  0.500  0.500
Ca  0.500  0.000  0.000
Rh  0.000  0.500  0.000
Rh  0.000  0.000  0.500

Properties
magnetic moment = 0.000 μB per formula unit
V = 202.7 Å³/cell

---

--- b ---
A relaxed CaCu3Rh crystal, computed with GGA-PBE.

Cell: 4.688 4.688 4.688 Å, 90.00 90.00 90.00°
Atoms (fractional coordinates):
Ca  0.500  0.500  0.500
Rh  0.000  0.000  0.000
Cu  0.500  0.000  0.000
Cu  0.000  0.500  0.000
Cu  0.000  0.000  0.500

Properties
magnetic moment = 0.000 μB per formula unit
V = 103.0 Å³/cell

---

Relative energies, meV/atom: a 0; b 45.